DFT (GGA+U) results for a geometry-optimized MnCdWO6 structure.

Results
DFT total energy, eV/cell: -117.73

a b c (Å): 4.8000 4.8000 9.2993
angles (deg): 90.00 90.00 90.00
Closest atoms and distances in Å follow each position.
Fractional coordinates of all 18 atoms:
Mn: 0.0000 0.0000 0.0000  6 O 1.94-1.98
Mn: 0.5000 0.5000 0.5000  6 O 1.94-1.98
Cd: 0.0000 0.0000 0.6694  6 O 2.22-2.33
Cd: 0.5000 0.5000 0.1694  6 O 2.22-2.33
W: 0.0000 0.0000 0.3387  6 O 1.94-1.98
W: 0.5000 0.5000 0.8387  6 O 1.94-1.98
O: 0.1727 0.1727 0.1666  1 Mn 1.94, 1 W 1.98
O: 0.2132 0.2132 0.8550  1 W 1.95, 1 Mn 1.98
O: 0.2165 0.2165 0.4750  1 Mn 1.94, 1 W 1.94
O: 0.2835 0.7165 0.9750  1 Mn 1.94, 1 W 1.94
O: 0.2868 0.7132 0.3550  1 W 1.95, 1 Mn 1.98
O: 0.3273 0.6727 0.6666  1 Mn 1.94, 1 W 1.98
O: 0.6727 0.3273 0.6666  1 Mn 1.94, 1 W 1.98
O: 0.7132 0.2868 0.3550  1 W 1.95, 1 Mn 1.98
O: 0.7165 0.2835 0.9750  1 Mn 1.94, 1 W 1.94
O: 0.7835 0.7835 0.4750  1 Mn 1.94, 1 W 1.94
O: 0.7868 0.7868 0.8550  1 W 1.95, 1 Mn 1.98
O: 0.8273 0.8273 0.1666  1 Mn 1.94, 1 W 1.98